Density functional theory data (PBE with a Hubbard U) for a relaxed structure of K2MnHgF6.

Its total magnetization is 5.000 μB per formula unit. The value obtained for the energy is -4.487 eV/atom. Its calculated density is 4.3 g/cm³.

Geometry as extended XYZ:
```
10
Lattice="-2.9599 -3.3504 4.3746 -6.0648 -1.3701 -0.6812 -1.7608 -5.8765 -1.2204" Properties=species:S:1:pos:R:3 pbc="T T T"
K -2.6964 -2.6492 0.6182
K -8.0892 -7.9477 1.8547
Mn 0.0000 0.0000 0.0000
Hg -5.3928 -5.2985 1.2365
F -3.4906 -5.6012 -0.0503
F -6.6670 -6.3188 -0.4071
F -7.2951 -4.9957 2.5233
F -5.7448 -3.2410 0.2321
F -5.0408 -7.3560 2.2409
F -4.1186 -4.2782 2.8801
```